Ca2CeTmTe4 | GGA-PBE | relaxed

Its final energy is -0.17631 Ha/atom.

The space group is P2/m (No. 10) and the conventional cell measures 7.664, 4.416 and 7.810 Å, with angles of 90.00, 109.01 and 90.00 degrees. The asymmetric unit holds Ca at (0.000, 0.000, 0.000), Ca at (0.500, 0.500, 0.000), Ce at (0.000, 0.500, 0.500), Tm at (0.500, 0.000, 0.500), Te at (0.259, 0.000, 0.751) and Te at (0.260, 0.500, 0.255).